[1]
# Ca2RuC PBEsol relaxed
data_Ca2RuC
_symmetry_space_group_name_H-M 'P 1'
_symmetry_Int_Tables_number 1
_symmetry_space_group_name_Hall 'P 1'
_cell_length_a 7.178
_cell_length_b 7.178
_cell_length_c 7.178
_cell_angle_alpha 94.14
_cell_angle_beta 94.14
_cell_angle_gamma 148.83
loop_
_atom_site_label
_atom_site_type_symbol
_atom_site_fract_x
_atom_site_fract_y
_atom_site_fract_z
Ca1 Ca 0.375 0.064 0.189
Ca2 Ca 0.814 0.625 0.689
Ca3 Ca 0.875 0.186 0.811
Ca4 Ca 0.936 0.125 0.311
Ru1 Ru 0.250 0.750 0.500
Ru2 Ru 0.500 0.500 0.000
C1 C 0.000 0.000 0.000
C2 C 0.750 0.250 0.500
# E_form = 0.0848 eV/atom

***

[2]
# BeTc4Os PBEsol relaxed
data_BeTc4Os
_symmetry_space_group_name_H-M 'P 1'
_symmetry_Int_Tables_number 1
_symmetry_space_group_name_Hall 'P 1'
_cell_length_a 4.948
_cell_length_b 4.948
_cell_length_c 4.948
_cell_angle_alpha 60.00
_cell_angle_beta 60.00
_cell_angle_gamma 60.00
loop_
_atom_site_label
_atom_site_type_symbol
_atom_site_fract_x
_atom_site_fract_y
_atom_site_fract_z
Be1 Be 0.000 0.000 0.000
Tc1 Tc 0.121 0.626 0.626
Tc2 Tc 0.626 0.121 0.626
Tc3 Tc 0.626 0.626 0.121
Tc4 Tc 0.626 0.626 0.626
Os1 Os 0.250 0.250 0.250
# E_form = 0.5523 eV/atom

***

[3]
# Sc2AuF PBEsol relaxed
data_Sc2AuF
_symmetry_space_group_name_H-M 'P 1'
_symmetry_Int_Tables_number 1
_symmetry_space_group_name_Hall 'P 1'
_cell_length_a 7.295
_cell_length_b 7.295
_cell_length_c 7.295
_cell_angle_alpha 31.20
_cell_angle_beta 31.20
_cell_angle_gamma 31.20
loop_
_atom_site_label
_atom_site_type_symbol
_atom_site_fract_x
_atom_site_fract_y
_atom_site_fract_z
Sc1 Sc 0.097 0.097 0.097
Sc2 Sc 0.903 0.903 0.903
Au1 Au 0.500 0.500 0.500
F1 F 0.000 0.000 0.000
# offset from the most stable computed form = 0 meV per atom
# raw formation energy = -5.9 eV per formula unit

***

[4]
# RbSr3Hg PBEsol relaxed
data_RbSr3Hg
_symmetry_space_group_name_H-M 'P 1'
_symmetry_Int_Tables_number 1
_symmetry_space_group_name_Hall 'P 1'
_cell_length_a 7.338
_cell_length_b 7.338
_cell_length_c 7.338
_cell_angle_alpha 90.00
_cell_angle_beta 90.00
_cell_angle_gamma 90.00
loop_
_atom_site_label
_atom_site_type_symbol
_atom_site_fract_x
_atom_site_fract_y
_atom_site_fract_z
Rb1 Rb 0.000 0.000 0.000
Sr1 Sr 0.000 0.000 0.500
Sr2 Sr 0.000 0.500 0.000
Sr3 Sr 0.500 0.000 0.000
Hg1 Hg 0.500 0.500 0.500
# offset from the most stable computed form = 997 meV per atom
# E_form = 0.8500 eV/atom

***

[5]
# Zr2TeP PBEsol relaxed
data_Zr2TeP
_symmetry_space_group_name_H-M 'P 1'
_symmetry_Int_Tables_number 1
_symmetry_space_group_name_Hall 'P 1'
_cell_length_a 6.975
_cell_length_b 6.975
_cell_length_c 6.975
_cell_angle_alpha 31.94
_cell_angle_beta 31.94
_cell_angle_gamma 31.94
loop_
_atom_site_label
_atom_site_type_symbol
_atom_site_fract_x
_atom_site_fract_y
_atom_site_fract_z
Zr1 Zr 0.230 0.230 0.230
Zr2 Zr 0.770 0.770 0.770
Te1 Te 0.000 0.000 0.000
P1 P 0.500 0.500 0.500
# raw formation energy = -4.8 eV per formula unit

***

[6]
# TlSiIr2 PBEsol relaxed
data_TlSiIr2
_symmetry_space_group_name_H-M 'P 1'
_symmetry_Int_Tables_number 1
_symmetry_space_group_name_Hall 'P 1'
_cell_length_a 3.263
_cell_length_b 3.263
_cell_length_c 6.264
_cell_angle_alpha 90.00
_cell_angle_beta 90.00
_cell_angle_gamma 90.00
loop_
_atom_site_label
_atom_site_type_symbol
_atom_site_fract_x
_atom_site_fract_y
_atom_site_fract_z
Tl1 Tl 0.000 0.000 0.000
Si1 Si 0.500 0.500 0.645
Ir1 Ir 0.000 0.000 0.546
Ir2 Ir 0.500 0.500 0.259
# offset from the most stable computed form = 0 meV per atom
# raw formation energy = 0.9 eV per formula unit

***

[7]
# KCa2P4H9O17 PBEsol relaxed
data_KCa2P4H9O17
_symmetry_space_group_name_H-M 'P 1'
_symmetry_Int_Tables_number 1
_symmetry_space_group_name_Hall 'P 1'
_cell_length_a 7.345
_cell_length_b 18.808
_cell_length_c 12.751
_cell_angle_alpha 90.00
_cell_angle_beta 124.75
_cell_angle_gamma 90.00
loop_
_atom_site_label
_atom_site_type_symbol
_atom_site_fract_x
_atom_site_fract_y
_atom_site_fract_z
K1 K 0.184 0.097 0.328
K2 K 0.184 0.403 0.828
K3 K 0.816 0.597 0.172
K4 K 0.816 0.903 0.672
Ca1 Ca 0.237 0.227 0.649
Ca2 Ca 0.237 0.273 0.149
Ca3 Ca 0.342 0.749 0.931
Ca4 Ca 0.342 0.751 0.431
Ca5 Ca 0.658 0.249 0.569
Ca6 Ca 0.658 0.251 0.069
Ca7 Ca 0.763 0.727 0.851
Ca8 Ca 0.763 0.773 0.351
P1 P 0.175 0.225 0.864
P2 P 0.175 0.275 0.364
P3 P 0.181 0.593 0.002
P4 P 0.181 0.907 0.502
P5 P 0.193 0.675 0.631
P6 P 0.193 0.825 0.131
P7 P 0.450 0.616 0.281
P8 P 0.450 0.884 0.781
P9 P 0.550 0.116 0.219
P10 P 0.550 0.384 0.719
P11 P 0.807 0.175 0.869
P12 P 0.807 0.325 0.369
P13 P 0.819 0.093 0.498
P14 P 0.819 0.407 0.998
P15 P 0.825 0.725 0.636
P16 P 0.825 0.775 0.136
H1 H 0.178 0.068 0.728
H2 H 0.178 0.432 0.228
H3 H 0.200 0.506 0.401
H4 H 0.200 0.994 0.901
H5 H 0.206 0.574 0.528
H6 H 0.206 0.926 0.028
H7 H 0.256 0.588 0.398
H8 H 0.256 0.912 0.898
H9 H 0.349 0.098 0.863
H10 H 0.349 0.402 0.363
H11 H 0.366 0.552 0.768
H12 H 0.366 0.948 0.268
H13 H 0.373 0.010 0.569
H14 H 0.373 0.490 0.069
H15 H 0.387 0.576 0.898
H16 H 0.387 0.924 0.398
H17 H 0.430 0.001 0.818
H18 H 0.430 0.499 0.318
H19 H 0.570 0.501 0.682
H20 H 0.570 0.999 0.182
H21 H 0.613 0.076 0.602
H22 H 0.613 0.424 0.102
H23 H 0.627 0.510 0.931
H24 H 0.627 0.990 0.431
H25 H 0.634 0.052 0.732
H26 H 0.634 0.448 0.232
H27 H 0.651 0.598 0.637
H28 H 0.651 0.902 0.137
H29 H 0.744 0.088 0.102
H30 H 0.744 0.412 0.602
H31 H 0.794 0.074 0.972
H32 H 0.794 0.426 0.472
H33 H 0.800 0.006 0.099
H34 H 0.800 0.494 0.599
H35 H 0.822 0.568 0.772
H36 H 0.822 0.932 0.272
O1 O 0.026 0.239 0.235
O2 O 0.026 0.261 0.735
O3 O 0.033 0.164 0.875
O4 O 0.033 0.336 0.375
O5 O 0.055 0.115 0.599
O6 O 0.055 0.385 0.099
O7 O 0.134 0.721 0.518
O8 O 0.134 0.779 0.018
O9 O 0.166 0.555 0.416
O10 O 0.166 0.945 0.916
O11 O 0.207 0.511 0.003
O12 O 0.207 0.989 0.503
O13 O 0.222 0.615 0.137
O14 O 0.222 0.885 0.637
O15 O 0.250 0.597 0.621
O16 O 0.250 0.903 0.121
O17 O 0.268 0.225 0.478
O18 O 0.268 0.275 0.978
O19 O 0.282 0.051 0.820
O20 O 0.282 0.449 0.320
O21 O 0.355 0.630 0.991
O22 O 0.355 0.870 0.491
O23 O 0.367 0.188 0.870
O24 O 0.367 0.312 0.370
O25 O 0.368 0.641 0.361
O26 O 0.368 0.859 0.861
O27 O 0.370 0.703 0.763
O28 O 0.370 0.797 0.263
O29 O 0.378 0.160 0.217
O30 O 0.378 0.340 0.717
O31 O 0.413 0.536 0.855
O32 O 0.413 0.964 0.355
O33 O 0.469 0.037 0.188
O34 O 0.469 0.463 0.688
O35 O 0.531 0.537 0.312
O36 O 0.531 0.963 0.812
O37 O 0.587 0.036 0.645
O38 O 0.587 0.464 0.145
O39 O 0.622 0.660 0.283
O40 O 0.622 0.840 0.783
O41 O 0.630 0.203 0.737
O42 O 0.630 0.297 0.237
O43 O 0.632 0.141 0.139
O44 O 0.632 0.359 0.639
O45 O 0.633 0.688 0.630
O46 O 0.633 0.812 0.130
O47 O 0.645 0.130 0.509
O48 O 0.645 0.370 0.009
O49 O 0.718 0.551 0.680
O50 O 0.718 0.949 0.180
O51 O 0.732 0.725 0.022
O52 O 0.732 0.775 0.522
O53 O 0.750 0.097 0.879
O54 O 0.750 0.403 0.379
O55 O 0.778 0.115 0.363
O56 O 0.778 0.385 0.863
O57 O 0.793 0.011 0.497
O58 O 0.793 0.489 0.997
O59 O 0.834 0.055 0.084
O60 O 0.834 0.445 0.584
O61 O 0.866 0.221 0.982
O62 O 0.866 0.279 0.482
O63 O 0.945 0.615 0.901
O64 O 0.945 0.885 0.401
O65 O 0.967 0.664 0.625
O66 O 0.967 0.836 0.125
O67 O 0.974 0.739 0.265
O68 O 0.974 0.761 0.765
# raw total energy = -6.431 eV per atom

***

[8]
# MgMnSbTe2 PBEsol relaxed
data_MgMnSbTe2
_symmetry_space_group_name_H-M 'P 1'
_symmetry_Int_Tables_number 1
_symmetry_space_group_name_Hall 'P 1'
_cell_length_a 5.231
_cell_length_b 5.231
_cell_length_c 4.931
_cell_angle_alpha 90.00
_cell_angle_beta 90.00
_cell_angle_gamma 90.00
loop_
_atom_site_label
_atom_site_type_symbol
_atom_site_fract_x
_atom_site_fract_y
_atom_site_fract_z
Mg1 Mg 0.000 0.000 0.000
Mn1 Mn 0.500 0.500 0.500
Sb1 Sb 0.500 0.500 0.000
Te1 Te 0.000 0.500 0.500
Te2 Te 0.500 0.000 0.500
# raw formation energy = 1.2 eV per formula unit